(1)
DFT (PBE) results for a relaxed Mg2HRh crystal.

```
Mg2HRh
1.0
3.477 0.000 0.000
0.000 6.494 0.000
-1.738 -1.628 4.839
Mg H Rh
4 2 2
Direct
0.153 0.577 0.306 Mg
0.847 0.423 0.694 Mg
0.153 0.077 0.306 Mg
0.847 0.923 0.694 Mg
0.000 0.750 0.000 H
0.000 0.250 0.000 H
0.500 0.250 0.000 Rh
0.500 0.750 0.000 Rh
```

## Properties
calculated volume = 109.3 Å³/cell
spin magnetization = 0.0 Bohr magnetons per cell
energy above the lowest structure with this stoichiometry = 0.000 eV/atom
Fermi-level density of states = 2.11 states/eV per cell

(2)
DFT (PBE) results for a relaxed Mg2H2Rh crystal.

```
Mg2H2Rh
1.0
5.979 0.000 0.000
0.000 5.979 0.000
0.000 0.000 3.202
H Mg Rh
4 4 2
Direct
0.342 0.842 0.000 H
0.842 0.658 0.000 H
0.658 0.158 0.000 H
0.158 0.342 0.000 H
0.188 0.688 0.500 Mg
0.688 0.812 0.500 Mg
0.812 0.312 0.500 Mg
0.312 0.188 0.500 Mg
0.000 0.000 0.000 Rh
0.500 0.500 0.000 Rh
```

## Properties
calculated volume = 114.4 Å³/cell
spin magnetization = 0.0 Bohr magnetons per cell
energy above the lowest structure with this stoichiometry = 0.230 eV/atom
Fermi-level density of states = 3.34 states/eV per cell

(3)
DFT (PBE) results for a relaxed MgHRh3 crystal.

```
MgHRh3
1.0
-0.184 0.304 5.117
1.715 -6.884 0.471
7.196 1.804 0.151
H Mg Rh
4 4 12
Direct
0.560 0.250 0.575 H
0.940 0.750 0.075 H
0.440 0.750 0.425 H
0.060 0.250 0.925 H
0.000 0.000 0.500 Mg
0.500 0.500 0.000 Mg
0.500 0.000 0.000 Mg
0.000 0.500 0.500 Mg
0.034 0.922 0.846 Rh
0.466 0.422 0.346 Rh
0.466 0.078 0.346 Rh
0.966 0.422 0.154 Rh
0.966 0.078 0.154 Rh
0.534 0.578 0.654 Rh
0.534 0.922 0.654 Rh
0.034 0.578 0.846 Rh
0.263 0.250 0.719 Rh
0.237 0.750 0.219 Rh
0.737 0.750 0.281 Rh
0.763 0.250 0.781 Rh
```

## Properties
calculated volume = 270.6 Å³/cell
spin magnetization = 0.1 Bohr magnetons per cell
energy above the lowest structure with this stoichiometry = 0.302 eV/atom
Fermi-level density of states = 23.68 states/eV per cell

(4)
DFT (PBE) results for a relaxed MgHRh3 crystal.

```
MgHRh3
1.0
5.602 -0.002 0.001
-2.798 4.801 -0.025
0.002 3.247 4.511
H Mg Rh
2 2 6
Direct
0.917 0.965 0.348 H
0.417 0.965 0.347 H
0.131 0.394 0.635 Mg
0.631 0.394 0.635 Mg
0.139 0.910 0.128 Rh
0.639 0.910 0.128 Rh
0.653 0.439 0.113 Rh
0.639 0.910 0.626 Rh
0.139 0.910 0.626 Rh
0.153 0.439 0.113 Rh
```

## Properties
calculated volume = 121.7 Å³/cell
spin magnetization = 0.0 Bohr magnetons per cell
energy above the lowest structure with this stoichiometry = 0.014 eV/atom
Fermi-level density of states = 8.24 states/eV per cell